A plane-wave DFT calculation with PBE with a Hubbard U was carried out for CrMoPO2 after structural relaxation.

Cell: 3.8279 3.8279 5.3407 Å, 90.00 90.00 90.00°
Closest atoms and distances in Å follow each position.
Space group P4/mmm (No. 123)
Inequivalent atoms, fractional coordinates:
Cr1 0.0000 0.0000 0.0000  4 P 2.71
Mo1 0.5000 0.5000 0.5000  4 O 1.91
P1 0.5000 0.5000 0.0000  2 Mo 2.67, 4 Cr 2.71
O1 0.0000 0.5000 0.5000  2 Mo 1.91

For the uncorrected energy, the calculation gives -33.376 eV/cell. The density of states at the Fermi level comes out at 0.74 states/eV per cell. The calculation puts the polymorph energy (0 for the lowest one) at 0 meV/atom.